Au2C: relaxed, PBE.

Cell and atoms, written as POSCAR:
```
Au2C
1.0
3.309 0.000 0.000
-1.654 2.866 0.000
0.000 0.000 4.703
Au C
2 1
Direct
0.333 0.667 0.280
0.667 0.333 0.720
0.000 0.000 0.000
```

Results
- ΔE to the lowest computed polymorph: 125 meV/atom